KMg2P | PBE-GGA | optimized geometry

Unit cell a=6.714 b=6.714 c=6.714 alpha=141.11 beta=124.50 gamma=69.83
Fractional coordinates of all 4 atoms:
K (0.000, 0.000, 0.000)
Mg (0.285, 0.785, 0.500)
Mg (0.605, 0.605, 0.000)
P (0.512, 0.012, 0.500)

Results
Total magnetization, μB per formula unit: 0.00
VASP energy, eV per atom: -2.45
Energy of formation from the pure elements, meV/atom: -22.0
SG: Imm2 (44)


K2MgP | PBE-GGA | optimized geometry

Unit cell a=4.636 b=4.636 c=5.235 alpha=90.00 beta=90.00 gamma=90.00
Fractional coordinates of all 4 atoms:
K (0.000, 0.500, 0.000)
K (0.500, 0.000, 0.000)
Mg (0.000, 0.000, 0.500)
P (0.500, 0.500, 0.500)

Results
Excess energy over the best structure of this formula in the dataset, meV per atom: 480
Total magnetization, μB per formula unit: 0.37
VASP energy, eV per atom: -2.17
Energy of formation from the pure elements, meV/atom: 125.0
SG: P4/mmm (123)


K2MgP2 | PBE-GGA | optimized geometry

Unit cell a=9.482 b=9.482 c=2.940 alpha=90.00 beta=90.00 gamma=90.00
Fractional coordinates of all 10 atoms:
K (0.119, 0.381, 0.000)
K (0.381, 0.881, 0.000)
K (0.619, 0.119, 0.000)
K (0.881, 0.619, 0.000)
Mg (0.000, 0.000, 0.000)
Mg (0.500, 0.500, 0.000)
P (0.181, 0.681, 0.500)
P (0.319, 0.181, 0.500)
P (0.681, 0.819, 0.500)
P (0.819, 0.319, 0.500)

Results
Excess energy over the best structure of this formula in the dataset, meV per atom: 612
Total magnetization, μB per formula unit: 0.00
VASP energy, eV per atom: -2.63
Energy of formation from the pure elements, meV/atom: 295.6
SG: P4/mbm (127)


KMg2P | PBE-GGA | optimized geometry

Unit cell a=4.524 b=4.524 c=4.632 alpha=90.00 beta=90.00 gamma=90.00
Fractional coordinates of all 4 atoms:
K (0.000, 0.000, 0.000)
Mg (0.000, 0.500, 0.500)
Mg (0.500, 0.000, 0.500)
P (0.500, 0.500, 0.000)

Results
Total magnetization, μB per formula unit: 0.00
VASP energy, eV per atom: -2.30
Energy of formation from the pure elements, meV/atom: 123.1
SG: P4/mmm (123)


K2MgP | PBE-GGA | optimized geometry

Unit cell a=12.052 b=12.052 c=12.052 alpha=157.85 beta=157.85 gamma=31.52
Fractional coordinates of all 8 atoms:
K (0.101, 0.625, 0.976)
K (0.375, 0.351, 0.476)
K (0.649, 0.125, 0.024)
K (0.875, 0.899, 0.524)
Mg (0.250, 0.750, 0.500)
Mg (0.500, 0.500, 0.000)
P (0.000, 0.000, 0.000)
P (0.750, 0.250, 0.500)

Results
Excess energy over the best structure of this formula in the dataset, meV per atom: 676
Total magnetization, μB per formula unit: 0.00
VASP energy, eV per atom: -1.98
Energy of formation from the pure elements, meV/atom: 320.6
SG: I-42d (122)


K5MgP2 | PBE-GGA | optimized geometry

Unit cell a=5.892 b=5.892 c=19.164 alpha=90.00 beta=90.00 gamma=120.00
Fractional coordinates of all 16 atoms:
K (0.000, 0.000, 0.134)
K (0.000, 0.000, 0.366)
K (0.000, 0.000, 0.634)
K (0.000, 0.000, 0.866)
K (0.333, 0.667, 0.050)
K (0.333, 0.667, 0.250)
K (0.333, 0.667, 0.450)
K (0.667, 0.333, 0.550)
K (0.667, 0.333, 0.750)
K (0.667, 0.333, 0.950)
Mg (0.333, 0.667, 0.750)
Mg (0.667, 0.333, 0.250)
P (0.333, 0.667, 0.621)
P (0.333, 0.667, 0.879)
P (0.667, 0.333, 0.121)
P (0.667, 0.333, 0.379)

Results
Total magnetization, μB per formula unit: 0.58
VASP energy, eV per atom: -2.46
Energy of formation from the pure elements, meV/atom: -226.2
SG: P6_3/mmc (194)


KMg2P | PBE-GGA | optimized geometry

Unit cell a=6.606 b=6.606 c=2.982 alpha=103.00 beta=103.00 gamma=122.03
Fractional coordinates of all 4 atoms:
K (0.000, 0.000, 0.000)
Mg (0.000, 0.500, 0.000)
Mg (0.500, 0.000, 0.000)
P (0.500, 0.500, 0.000)

Results
Total magnetization, μB per formula unit: 0.00
VASP energy, eV per atom: -2.21
Energy of formation from the pure elements, meV/atom: 212.8
SG: C2/m (12)


KMg2P | PBE-GGA | optimized geometry

Unit cell a=3.508 b=3.800 c=8.011 alpha=90.00 beta=90.00 gamma=90.00
Fractional coordinates of all 4 atoms:
K (0.000, 0.000, 0.000)
Mg (0.000, 0.000, 0.603)
Mg (0.500, 0.500, 0.364)
P (0.500, 0.500, 0.692)

Results
Total magnetization, μB per formula unit: 0.00
VASP energy, eV per atom: -2.58
Energy of formation from the pure elements, meV/atom: -152.7
SG: Pmm2 (25)


K2MgP | PBE-GGA | optimized geometry

Unit cell a=5.741 b=5.741 c=3.807 alpha=90.00 beta=90.00 gamma=90.00
Fractional coordinates of all 4 atoms:
K (0.000, 0.500, 0.000)
K (0.500, 0.000, 0.000)
Mg (0.000, 0.000, 0.500)
P (0.500, 0.500, 0.500)

Results
Excess energy over the best structure of this formula in the dataset, meV per atom: 574
Total magnetization, μB per formula unit: 0.00
VASP energy, eV per atom: -2.08
Energy of formation from the pure elements, meV/atom: 218.9
SG: P4/mmm (123)


K2MgP | PBE-GGA | optimized geometry

Unit cell a=3.624 b=3.624 c=10.228 alpha=90.00 beta=90.00 gamma=90.00
Fractional coordinates of all 4 atoms:
K (0.000, 0.000, 0.192)
K (0.000, 0.000, 0.808)
Mg (0.500, 0.500, 0.500)
P (0.500, 0.500, 0.000)

Results
Excess energy over the best structure of this formula in the dataset, meV per atom: 520
Total magnetization, μB per formula unit: 0.00
VASP energy, eV per atom: -2.14
Energy of formation from the pure elements, meV/atom: 164.8
SG: P4/mmm (123)


KMg2P | PBE-GGA | optimized geometry

Unit cell a=6.946 b=6.946 c=6.946 alpha=102.35 beta=102.35 gamma=124.90
Fractional coordinates of all 8 atoms:
K (0.000, 0.000, 0.000)
K (0.750, 0.250, 0.500)
Mg (0.242, 0.625, 0.117)
Mg (0.375, 0.492, 0.617)
Mg (0.508, 0.125, 0.883)
Mg (0.875, 0.758, 0.383)
P (0.250, 0.750, 0.500)
P (0.500, 0.500, 0.000)

Results
Total magnetization, μB per formula unit: 0.00
VASP energy, eV per atom: -2.50
Energy of formation from the pure elements, meV/atom: -78.3
SG: I-42d (122)


K4MgP2 | PBE-GGA | optimized geometry

Unit cell a=9.015 b=9.015 c=9.015 alpha=138.12 beta=138.12 gamma=60.71
Fractional coordinates of all 7 atoms:
K (0.000, 0.500, 0.500)
K (0.238, 0.238, 0.000)
K (0.500, 0.000, 0.500)
K (0.762, 0.762, 0.000)
Mg (0.000, 0.000, 0.000)
P (0.431, 0.431, 0.000)
P (0.569, 0.569, 0.000)

Results
Total magnetization, μB per formula unit: 0.00
VASP energy, eV per atom: -2.31
Energy of formation from the pure elements, meV/atom: 90.7
SG: I4/mmm (139)


K2MgP | PBE-GGA | optimized geometry

Unit cell a=5.583 b=5.583 c=5.583 alpha=60.00 beta=60.00 gamma=60.00
Fractional coordinates of all 4 atoms:
K (0.250, 0.250, 0.250)
K (0.750, 0.750, 0.750)
Mg (0.000, 0.000, 0.000)
P (0.500, 0.500, 0.500)

Results
Excess energy over the best structure of this formula in the dataset, meV per atom: 511
Total magnetization, μB per formula unit: 0.00
VASP energy, eV per atom: -2.14
Energy of formation from the pure elements, meV/atom: 155.8
SG: Fm-3m (225)


KMg2P | PBE-GGA | optimized geometry

Unit cell a=8.988 b=8.988 c=8.988 alpha=26.27 beta=26.27 gamma=26.27
Fractional coordinates of all 4 atoms:
K (0.000, 0.000, 0.000)
Mg (0.211, 0.211, 0.211)
Mg (0.789, 0.789, 0.789)
P (0.500, 0.500, 0.500)

Results
Total magnetization, μB per formula unit: 0.00
VASP energy, eV per atom: -2.59
Energy of formation from the pure elements, meV/atom: -165.2
SG: R-3m (166)